Compound: YbCu4Ni
Source: Alexandria
Functional: GGA-PBE
Structure: optimized geometry

Spin magnetization: 0.28 μB per formula unit
Calculated total energy: -96.73 eV for the cell shown
Crystal system: cubic
Formation energy from the elements: -82 meV per atom

a b c (Å): 7.005 7.005 7.005
angles (deg): 90.00 90.00 90.00
Space group F-43m (No. 216)
Inequivalent atoms, fractional coordinates:
Yb: 0.000 0.000 0.000 x4
Cu: 0.124 0.124 0.624 x16
Ni: 0.250 0.250 0.250 x4



Compound: Zn8Cu3Ni2
Source: Alexandria
Functional: GGA-PBE
Structure: optimized geometry

Spin magnetization: 0.00 μB per formula unit
Calculated total energy: -69.50 eV for the cell shown
Crystal system: monoclinic
Formation energy from the elements: -54 meV per atom

a b c (Å): 10.878 7.076 4.881
angles (deg): 90.00 97.91 90.00
Space group C2/m (No. 12)
Inequivalent atoms, fractional coordinates:
Zn: 0.095 0.000 0.381 x4
Zn: 0.124 0.190 0.928 x8
Zn: 0.194 0.500 0.322 x4
Cu: 0.000 0.330 0.500 x4
Cu: 0.000 0.500 0.000 x2
Ni: 0.203 0.500 0.814 x4



Compound: Zn7CuNi4
Source: Alexandria
Functional: GGA-PBE
Structure: optimized geometry

Spin magnetization: 0.00 μB per formula unit
Calculated total energy: -71.32 eV for the cell shown
Energy above the lowest structure with this stoichiometry: 182 meV per atom
Crystal system: monoclinic
Formation energy from the elements: 40 meV per atom

a b c (Å): 11.514 4.374 8.609
angles (deg): 90.00 127.53 90.00
Space group C2/m (No. 12)
Inequivalent atoms, fractional coordinates:
Zn: 0.000 0.000 0.000 x2
Zn: 0.069 0.500 0.338 x4
Zn: 0.164 0.000 0.606 x4
Zn: 0.214 0.500 0.861 x4
Cu: 0.000 0.500 0.000 x2
Ni: 0.066 0.000 0.785 x4
Ni: 0.194 0.000 0.347 x4



Compound: Zn5Cu2Ni
Source: Alexandria
Functional: GGA-PBE
Structure: optimized geometry

Spin magnetization: 0.00 μB per formula unit
Calculated total energy: -82.32 eV for the cell shown
Energy above the lowest structure with this stoichiometry: 93 meV per atom
Crystal system: tetragonal
Formation energy from the elements: -30 meV per atom

a b c (Å): 6.621 6.621 9.869
angles (deg): 90.00 90.00 90.00
Space group I4/mcm (No. 140)
Inequivalent atoms, fractional coordinates:
Zn: 0.000 0.000 0.000 x4
Zn: 0.154 0.346 0.162 x16
Cu: 0.139 0.361 0.500 x8
Ni: 0.000 0.000 0.250 x4



Compound: ZnCu4Ni
Source: Alexandria
Functional: GGA-PBE
Structure: optimized geometry

Spin magnetization: 0.00 μB per formula unit
Calculated total energy: -47.47 eV for the cell shown
Energy above the lowest structure with this stoichiometry: 0 meV per atom
Crystal system: monoclinic
Formation energy from the elements: -49 meV per atom

a b c (Å): 4.439 7.731 4.434
angles (deg): 90.00 108.86 90.00
Space group C2/m (No. 12)
Inequivalent atoms, fractional coordinates:
Zn: 0.000 0.000 0.000 x2
Cu: 0.000 0.169 0.500 x4
Cu: 0.000 0.335 0.000 x4
Ni: 0.000 0.500 0.500 x2



Compound: Zn2CuNi
Source: Alexandria
Functional: GGA-PBE
Structure: optimized geometry

Spin magnetization: 0.00 μB per formula unit
Calculated total energy: -13.04 eV for the cell shown
Crystal system: tetragonal
Formation energy from the elements: -155 meV per atom

a b c (Å): 2.689 2.689 6.969
angles (deg): 90.00 90.00 90.00
Space group P4/mmm (No. 123)
Inequivalent atoms, fractional coordinates:
Zn: 0.000 0.000 0.240 x2
Cu: 0.500 0.500 0.500 x1
Ni: 0.500 0.500 0.000 x1



Compound: ZnCuNi4
Source: Alexandria
Functional: GGA-PBE
Structure: optimized geometry

Spin magnetization: 0.90 μB per formula unit
Calculated total energy: -112.47 eV for the cell shown
Energy above the lowest structure with this stoichiometry: 128 meV per atom
Crystal system: cubic
Formation energy from the elements: 63 meV per atom

a b c (Å): 6.605 6.605 6.605
angles (deg): 90.00 90.00 90.00
Space group F-43m (No. 216)
Inequivalent atoms, fractional coordinates:
Zn: 0.000 0.000 0.000 x4
Cu: 0.250 0.250 0.750 x4
Ni: 0.125 0.125 0.375 x16



Compound: Zn3Cu8Ni
Source: Alexandria
Functional: GGA-PBE
Structure: optimized geometry

Spin magnetization: 0.00 μB per formula unit
Calculated total energy: -43.01 eV for the cell shown
Crystal system: triclinic
Formation energy from the elements: -53 meV per atom

a b c (Å): 2.627 7.235 7.795
angles (deg): 90.46 90.00 90.16
Space group P1 (No. 1)
Inequivalent atoms, fractional coordinates:
Zn: 0.000 0.000 0.000 x1
Zn: 0.001 0.482 0.675 x1
Zn: 0.502 0.728 0.177 x1
Cu: 0.000 0.480 0.005 x1
Cu: 0.001 0.989 0.672 x1
Cu: 0.002 0.481 0.344 x1
Cu: 0.002 0.987 0.340 x1
Cu: 0.499 0.738 0.840 x1
Cu: 0.501 0.231 0.506 x1
Cu: 0.501 0.240 0.175 x1
Cu: 0.502 0.739 0.509 x1
Ni: 0.501 0.238 0.837 x1



Compound: Zn6Cu8Ni
Source: Alexandria
Functional: GGA-PBE
Structure: optimized geometry

Spin magnetization: 0.00 μB per formula unit
Calculated total energy: -139.95 eV for the cell shown
Energy above the lowest structure with this stoichiometry: 10 meV per atom
Crystal system: trigonal
Formation energy from the elements: -30 meV per atom

a b c (Å): 6.5108 6.5108 16.1099
angles (deg): 90.00 90.00 120.00
Space group R-3 (No. 148, hexagonal axes)
Inequivalent atoms, fractional coordinates:
Zn: 0.0503 0.2670 0.2207 x18
Cu: 0.0000 0.0000 0.3442 x6
Cu: 0.0379 0.2502 0.0607 x18
Ni: 0.0000 0.0000 0.5000 x3



Compound: Zn3Cu6Ni
Source: Alexandria
Functional: GGA-PBE
Structure: optimized geometry

Spin magnetization: 0.00 μB per formula unit
Calculated total energy: -69.66 eV for the cell shown
Energy above the lowest structure with this stoichiometry: 0 meV per atom
Crystal system: monoclinic
Formation energy from the elements: -65 meV per atom

a b c (Å): 6.872 4.247 8.991
angles (deg): 90.00 109.04 90.00
Space group P2_1/m (No. 11)
Inequivalent atoms, fractional coordinates:
Zn: 0.091 0.250 0.236 x2
Zn: 0.302 0.250 0.030 x2
Zn: 0.305 0.750 0.373 x2
Cu: 0.101 0.750 0.068 x2
Cu: 0.102 0.250 0.728 x2
Cu: 0.295 0.250 0.536 x2
Cu: 0.300 0.750 0.862 x2
Cu: 0.497 0.750 0.668 x2
Cu: 0.499 0.750 0.168 x2
Ni: 0.097 0.750 0.564 x2



Compound: Zn2Cu7Ni2
Source: Alexandria
Functional: GGA-PBE
Structure: optimized geometry

Spin magnetization: 0.00 μB per formula unit
Calculated total energy: -83.80 eV for the cell shown
Energy above the lowest structure with this stoichiometry: 37 meV per atom
Crystal system: monoclinic
Formation energy from the elements: 80 meV per atom

a b c (Å): 8.253 8.262 4.487
angles (deg): 90.00 114.87 90.00
Space group C2/m (No. 12)
Inequivalent atoms, fractional coordinates:
Zn: 0.000 0.215 0.000 x4
Cu: 0.000 0.000 0.500 x2
Cu: 0.168 0.248 0.665 x8
Cu: 0.247 0.500 0.956 x4
Ni: 0.089 0.500 0.323 x4



Compound: Zn3Cu8Ni2
Source: Alexandria
Functional: GGA-PBE
Structure: optimized geometry

Spin magnetization: 0.00 μB per formula unit
Calculated total energy: -138.94 eV for the cell shown
Energy above the lowest structure with this stoichiometry: 89 meV per atom
Crystal system: trigonal
Formation energy from the elements: 142 meV per atom

a b c (Å): 4.7044 4.7044 27.1921
angles (deg): 90.00 90.00 120.00
Space group R-3m (No. 166, hexagonal axes)
Inequivalent atoms, fractional coordinates:
Zn: 0.0000 0.0000 0.0000 x3
Zn: 0.0000 0.0000 0.1822 x6
Cu: 0.0000 0.0000 0.2736 x6
Cu: 0.0014 0.5007 0.7677 x18
Ni: 0.0000 0.0000 0.3593 x6



Please write out number 9 again, unchanged.
Compound: Zn6Cu8Ni
Source: Alexandria
Functional: GGA-PBE
Structure: optimized geometry

Spin magnetization: 0.00 μB per formula unit
Calculated total energy: -139.95 eV for the cell shown
Energy above the lowest structure with this stoichiometry: 10 meV per atom
Crystal system: trigonal
Formation energy from the elements: -30 meV per atom

a b c (Å): 6.5108 6.5108 16.1099
angles (deg): 90.00 90.00 120.00
Space group R-3 (No. 148, hexagonal axes)
Inequivalent atoms, fractional coordinates:
Zn: 0.0503 0.2670 0.2207 x18
Cu: 0.0000 0.0000 0.3442 x6
Cu: 0.0379 0.2502 0.0607 x18
Ni: 0.0000 0.0000 0.5000 x3



Which formula does entry 7 have? ZnCuNi4



The highest calculated total energy belongs to which entry? Zn2CuNi